This record from Alexandria via LeMat-Bulk describes a relaxed structure of Er5Bi2Sb. The functional is PBE-GGA.

- total DFT energy (no corrections) (eV/atom) = -4.720
- calculated volume (A^3/atom) = 31.93

Structure (CIF):
```
data_Er5Bi2Sb
_chemical_formula_sum 'Er20 Bi8 Sb4'
_cell_length_a 6.090
_cell_length_b 12.185
_cell_length_c 13.767
_cell_angle_alpha 90.00
_cell_angle_beta 90.00
_cell_angle_gamma 90.00
_space_group_name_H-M_alt 'C m c m'
_space_group_IT_number 63
_space_group_name_Hall '-C 2c 2'
loop_
_atom_site_label
_atom_site_type_symbol
_atom_site_fract_x
_atom_site_fract_y
_atom_site_fract_z
_atom_site_occupancy
Er1 Er 0.000 0.065 0.105 1
Er2 Er 0.000 0.378 0.060 1
Er3 Er 0.000 0.380 0.750 1
Bi1 Bi 0.000 0.190 0.598 1
Sb1 Sb 0.000 0.247 0.250 1
```